[1]
20
Lattice="7.4103 0.0000 0.0000 0.0000 9.6708 0.1498 0.0000 -2.0120 9.4603" Properties=species:S:1:pos:R:3 comment="Pm6Sn3Br (PBE-GGA, relaxed)" m_tot_mub_per_cell=2.76 raw_formation_energy_kcal_per_mol_atoms=-13.879 spacegroup="No. 36" pbc="T T T"
Sn 2.6322 2.6819 5.7195
Sn 7.3879 0.1466 2.6729
Sn 3.6828 2.5728 0.7394
Sn 3.6828 7.5122 6.9372
Sn 7.3879 5.0860 8.8708
Sn 6.3373 4.9768 3.8906
Pm 5.1676 7.8959 4.1907
Pm 4.7283 0.8524 7.1776
Pm 1.2967 3.0490 2.8437
Pm 1.0231 6.8064 2.4326
Pm 5.1676 5.3357 0.9782
Pm 5.0018 4.6097 6.7664
Pm 1.4624 2.3230 8.6319
Pm 1.2967 5.5671 6.0034
Pm 5.6138 9.5740 0.2269
Pm 1.9086 -1.9152 9.3832
Pm 1.4624 -0.2371 5.4195
Pm 5.0018 2.0916 3.6067
Br 7.3799 -0.1676 7.9904
Br 3.6747 7.8263 1.6197

[2]
4
Lattice="-0.7808 -2.3840 -2.6205 -0.1052 -3.5482 0.7482 -9.8934 -1.2326 1.5582" Properties=species:S:1:pos:R:3 comment="Pm2SnBr (PBE-GGA, relaxed)" m_tot_mub_per_cell=0.00 polymorph_energy_mev_per_atom=109.0 raw_formation_energy_kcal_per_mol_atoms=-18.514 spacegroup="No. 166" pbc="T T T"
Sn -5.3897 -3.5824 -0.1570
Pm -8.2040 -5.3643 -0.2084
Pm -2.5754 -1.8005 -0.1057
Br 0.0000 0.0000 0.0000